{"formula": "SmDy2Rh3", "functional": "GGA-PBE", "state": "relaxed", "cell": [[-2.860, 0.443, 1.871], [-1.859, -1.497, -2.487], [1.484, -9.253, 4.459]], "species": ["Sm", "Dy", "Dy", "Rh", "Rh", "Rh"], "fractional_positions": [[0.500, 0.500, 0.500], [0.500, 0.500, 0.835], [0.500, 0.500, 0.165], [0.000, 0.000, 0.000], [0.000, 0.000, 0.673], [0.000, 0.000, 0.327]], "rho_g_cm3": 10.6, "relative_energy_ev_per_fu": 0.02, "sg": "P4/mmm", "formation_enthalpy_0k_ev_per_atom": -0.819, "n_ef_per_ev_cell": 4.1}

***

{"formula": "HoScPa2N4", "functional": "GGA-PBE", "state": "relaxed", "cell": [[-1.485, -2.161, 2.180], [0.679, -4.428, -3.926], [5.203, -2.646, 0.921]], "species": ["Ho", "Sc", "Pa", "Pa", "N", "N", "N", "N"], "fractional_positions": [[0.000, 0.500, 0.500], [0.500, 0.500, 0.000], [0.000, 0.000, 0.000], [0.500, 0.000, 0.500], [0.000, 0.743, 0.760], [0.000, 0.257, 0.240], [0.500, 0.747, 0.242], [0.500, 0.253, 0.758]], "rho_g_cm3": 10.7, "sg": "P2/m", "e_form_raw_ev_per_atom": -1.672, "n_ef_per_ev_cell": 3.7}

***

{"formula": "Ca2GdMg", "functional": "GGA-PBE", "state": "relaxed", "cell": [[-0.655, 1.109, 3.477], [-2.367, -2.818, 0.453], [7.458, -5.745, 3.237]], "species": ["Ca", "Ca", "Gd", "Mg"], "fractional_positions": [[0.000, 0.000, 0.773], [0.000, 0.000, 0.227], [0.500, 0.500, 0.500], [0.500, 0.500, 0.000]], "rho_g_cm3": 3.2, "relative_energy_ev_per_fu": 0.00, "sg": "P4/mmm", "formation_enthalpy_0k_ev_per_atom": 0.036, "n_ef_per_ev_cell": 7.1}

***

{"formula": "Ag2SbMo", "functional": "GGA-PBE", "state": "relaxed", "cell": [[-1.763, 1.619, 1.644], [-0.293, -2.214, 1.857], [7.296, 3.066, 4.807]], "species": ["Ag", "Ag", "Mo", "Sb"], "fractional_positions": [[0.000, 0.000, 0.025], [0.000, 0.000, 0.475], [0.500, 0.500, 0.250], [0.500, 0.500, 0.750]], "rho_g_cm3": 9.2, "sg": "Cmmm", "e_form_raw_ev_per_atom": 0.471, "n_ef_per_ev_cell": 3.6}

***

{"formula": "Y2CrCd", "functional": "GGA-PBE", "state": "relaxed", "cell": [[4.866, 0.000, 0.000], [0.000, 3.570, -0.011], [0.000, 1.813, 5.855]], "species": ["Cd", "Cr", "Y", "Y"], "fractional_positions": [[0.000, 0.695, 0.486], [0.500, 0.552, 0.769], [0.000, 0.969, 0.936], [0.500, 0.283, 0.309]], "rho_g_cm3": 5.6, "sg": "Pm", "formation_enthalpy_0k_ev_per_atom": 0.089, "n_ef_per_ev_cell": 4.5}

***

{"formula": "Pm6Nd16Sm7", "functional": "GGA-PBE", "state": "relaxed", "cell": [[9.896, 0.000, 5.713], [3.299, 9.330, 5.713], [0.000, 0.000, 11.427]], "species": ["Pm", "Pm", "Pm", "Pm", "Pm", "Pm", "Nd", "Nd", "Nd", "Nd", "Nd", "Nd", "Nd", "Nd", "Nd", "Nd", "Nd", "Nd", "Nd", "Nd", "Nd", "Nd", "Sm", "Sm", "Sm", "Sm", "Sm", "Sm", "Sm"], "fractional_positions": [[0.269, 0.731, 0.269], [0.731, 0.269, 0.731], [0.731, 0.269, 0.269], [0.269, 0.731, 0.731], [0.731, 0.731, 0.269], [0.269, 0.269, 0.731], [0.874, 0.874, 0.378], [0.874, 0.874, 0.874], [0.874, 0.378, 0.874], [0.378, 0.874, 0.874], [0.126, 0.126, 0.126], [0.126, 0.126, 0.622], [0.126, 0.622, 0.126], [0.622, 0.126, 0.126], [0.651, 0.651, 0.047], [0.651, 0.651, 0.651], [0.651, 0.047, 0.651], [0.047, 0.651, 0.651], [0.349, 0.349, 0.349], [0.349, 0.349, 0.953], [0.349, 0.953, 0.349], [0.953, 0.349, 0.349], [0.000, 0.000, 0.000], [0.500, 0.000, 0.500], [0.000, 0.500, 0.000], [0.000, 0.500, 0.500], [0.500, 0.000, 0.000], [0.000, 0.000, 0.500], [0.500, 0.500, 0.000]], "rho_g_cm3": 6.7, "sg": "Fm-3m", "formation_enthalpy_0k_ev_per_atom": 0.208, "n_ef_per_ev_cell": 41.0}

***

{"formula": "LuScHgBi", "functional": "GGA-PBE", "state": "relaxed", "cell": [[-4.671, 1.264, -1.971], [-4.210, -2.841, 1.228], [-3.691, 2.007, 3.107]], "species": ["Sc", "Lu", "Bi", "Hg"], "fractional_positions": [[0.000, 0.000, 0.000], [0.500, 0.500, 0.500], [0.750, 0.750, 0.750], [0.250, 0.250, 0.250]], "rho_g_cm3": 10.4, "sg": "F-43m", "formation_enthalpy_0k_ev_per_atom": -0.378, "n_ef_per_ev_cell": 5.5}

***

{"formula": "V3NiOs", "functional": "GGA-PBE", "state": "relaxed", "cell": [[-3.832, -0.812, -1.637], [-1.214, -1.712, 3.690], [-1.366, 3.799, 1.314]], "species": ["Ni", "Os", "V", "V", "V"], "fractional_positions": [[0.000, 0.000, 0.000], [0.500, 0.500, 0.500], [0.000, 0.500, 0.000], [0.000, 0.000, 0.500], [0.500, 0.000, 0.000]], "rho_g_cm3": 8.7, "relative_energy_ev_per_fu": 0.00, "sg": "Pm-3m", "formation_enthalpy_0k_ev_per_atom": 1.022, "n_ef_per_ev_cell": 7.1}

***

{"formula": "NdPaIr", "functional": "GGA-PBE", "state": "relaxed", "cell": [[3.619, 0.000, 0.000], [0.000, 3.619, 0.000], [-1.809, -1.809, 5.625]], "species": ["Pa", "Nd", "Ir"], "fractional_positions": [[0.299, 0.299, 0.599], [0.003, 0.003, 0.005], [0.698, 0.698, 0.396]], "rho_g_cm3": 12.8, "relative_energy_ev_per_fu": 0.28, "sg": "I4mm", "formation_enthalpy_0k_ev_per_atom": -0.476, "n_ef_per_ev_cell": 3.6}

***

{"formula": "Tb5CeGa4", "functional": "GGA-PBE", "state": "relaxed", "cell": [[-1.409, 1.215, 3.147], [5.435, -5.393, 4.517], [6.050, 6.261, -1.833]], "species": ["Tb", "Tb", "Tb", "Tb", "Tb", "Ce", "Ga", "Ga", "Ga", "Ga"], "fractional_positions": [[0.812, 0.658, 0.625], [0.850, 0.223, 0.700], [0.150, 0.777, 0.300], [0.500, 0.500, 0.000], [0.188, 0.342, 0.375], [0.500, 0.000, 0.000], [0.314, 0.944, 0.627], [0.977, 0.740, 0.953], [0.686, 0.056, 0.373], [0.023, 0.260, 0.047]], "rho_g_cm3": 7.2, "sg": "C2/m", "formation_enthalpy_0k_ev_per_atom": -0.240, "n_ef_per_ev_cell": 13.1}

***

{"formula": "ReAg2As", "functional": "GGA-PBE", "state": "relaxed", "cell": [[4.740, 0.017, -0.030], [3.932, 2.647, -0.030], [0.649, 0.199, 5.454]], "species": ["Re", "As", "Ag", "Ag"], "fractional_positions": [[0.252, 0.252, 0.278], [0.506, 0.506, 0.460], [0.996, 0.996, 0.995], [0.746, 0.746, 0.767]], "rho_g_cm3": 11.6, "sg": "Cm", "formation_enthalpy_0k_ev_per_atom": 0.522, "n_ef_per_ev_cell": 2.1}

***

{"formula": "Pm2MgTi", "functional": "GGA-PBE", "state": "relaxed", "cell": [[-0.130, 2.613, 2.227], [-2.792, 1.216, -1.589], [-5.330, -4.991, 5.546]], "species": ["Mg", "Ti", "Pm", "Pm"], "fractional_positions": [[0.500, 0.500, 0.500], [0.500, 0.500, 0.000], [0.000, 0.000, 0.766], [0.000, 0.000, 0.234]], "rho_g_cm3": 5.6, "relative_energy_ev_per_fu": 0.00, "sg": "P4/mmm", "formation_enthalpy_0k_ev_per_atom": 0.112, "n_ef_per_ev_cell": 4.6}

***

{"formula": "FeHg2Rh", "functional": "GGA-PBE", "state": "relaxed", "cell": [[-3.235, 0.414, 3.263], [-4.462, -0.346, -1.118], [-2.429, -3.692, 1.321]], "species": ["Fe", "Hg", "Hg", "Rh"], "fractional_positions": [[0.500, 0.500, 0.500], [0.000, 0.000, 0.000], [0.250, 0.250, 0.250], [0.750, 0.750, 0.750]], "rho_g_cm3": 13.4, "relative_energy_ev_per_fu": 0.87, "sg": "F-43m", "formation_enthalpy_0k_ev_per_atom": 0.392, "n_ef_per_ev_cell": 3.9}

***

{"formula": "Sm6DyTm3Th2", "functional": "GGA-PBE", "state": "relaxed", "cell": [[6.197, 0.002, 0.002], [-3.095, 5.369, 0.002], [-1.037, -1.796, 11.699]], "species": ["Sm", "Sm", "Sm", "Sm", "Sm", "Sm", "Dy", "Tm", "Tm", "Tm", "Th", "Th"], "fractional_positions": [[0.917, 0.581, 0.751], [0.747, 0.747, 0.250], [0.083, 0.419, 0.249], [0.581, 0.917, 0.751], [0.253, 0.253, 0.750], [0.419, 0.083, 0.249], [0.000, 0.000, 0.000], [0.167, 0.833, 0.500], [0.833, 0.167, 0.500], [0.500, 0.500, 0.500], [0.333, 0.667, 0.000], [0.667, 0.333, 0.000]], "rho_g_cm3": 8.7, "sg": "C2/m", "formation_enthalpy_0k_ev_per_atom": 0.039, "n_ef_per_ev_cell": 17.1}

***

{"formula": "NaTlN3", "functional": "GGA-PBE", "state": "relaxed", "cell": [[-0.082, -2.423, -3.684], [-2.181, -3.181, 2.140], [-3.833, 1.861, -1.139]], "species": ["Na", "Tl", "N", "N", "N"], "fractional_positions": [[0.500, 0.500, 0.500], [0.000, 0.000, 0.000], [0.000, 0.500, 0.000], [0.000, 0.000, 0.500], [0.500, 0.000, 0.000]], "rho_g_cm3": 5.2, "sg": "Pm-3m", "e_form_raw_ev_per_atom": 2.011, "n_ef_per_ev_cell": 2.1}

***

{"formula": "ScPOs", "functional": "GGA-PBE", "state": "relaxed", "cell": [[-3.143, 2.280, 1.407], [1.067, -3.477, 1.957], [2.032, 1.662, 1.845]], "species": ["Sc", "P", "Os"], "fractional_positions": [[0.333, 0.667, 0.500], [0.667, 0.333, 0.000], [0.000, 0.000, 0.000]], "rho_g_cm3": 9.3, "sg": "P-6m2", "formation_enthalpy_0k_ev_per_atom": -0.680, "n_ef_per_ev_cell": 3.5}

***

{"formula": "CeCd2S4", "functional": "GGA-PBE", "state": "relaxed", "cell": [[0.266, -4.142, -6.237], [4.534, -2.165, 5.558], [-6.992, -0.588, 2.628]], "species": ["Ce", "Ce", "Cd", "Cd", "Cd", "Cd", "S", "S", "S", "S", "S", "S", "S", "S"], "fractional_positions": [[0.750, 0.250, 0.500], [0.000, 0.000, 0.000], [0.875, 0.519, 0.144], [0.269, 0.125, 0.644], [0.375, 0.731, 0.856], [0.481, 0.625, 0.356], [0.232, 0.918, 0.287], [0.054, 0.768, 0.686], [0.632, 0.946, 0.713], [0.082, 0.368, 0.314], [0.518, 0.304, 0.186], [0.696, 0.882, 0.213], [0.118, 0.332, 0.814], [0.668, 0.482, 0.787]], "rho_g_cm3": 5.1, "sg": "I-42d", "e_form_raw_ev_per_atom": -0.993}

***

{"formula": "ZnHg2Br", "functional": "GGA-PBE", "state": "relaxed", "cell": [[5.968, -0.015, -0.002], [1.119, 5.862, 0.002], [-2.330, -4.394, 3.298]], "species": ["Br", "Hg", "Hg", "Zn"], "fractional_positions": [[0.304, 0.804, 0.500], [0.981, 0.981, 0.000], [0.715, 0.215, 0.500], [0.500, 0.500, 0.000]], "rho_g_cm3": 7.9, "relative_energy_ev_per_fu": 0.28, "sg": "Imm2", "e_form_raw_ev_per_atom": -0.116, "n_ef_per_ev_cell": 0.8}

***

{"formula": "CuAuSe3", "functional": "GGA-PBE", "state": "relaxed", "cell": [[-5.080, 1.977, -4.551], [5.174, 0.395, -6.344], [-2.153, -7.725, -1.692]], "species": ["Cu", "Cu", "Cu", "Cu", "Au", "Au", "Au", "Au", "Se", "Se", "Se", "Se", "Se", "Se", "Se", "Se", "Se", "Se", "Se", "Se"], "fractional_positions": [[0.958, 0.648, 0.808], [0.542, 0.192, 0.352], [0.042, 0.352, 0.192], [0.458, 0.808, 0.648], [0.250, 0.915, 0.085], [0.750, 0.085, 0.915], [0.250, 0.234, 0.766], [0.750, 0.766, 0.234], [0.659, 0.788, 0.913], [0.841, 0.087, 0.212], [0.341, 0.212, 0.087], [0.159, 0.913, 0.788], [0.928, 0.346, 0.899], [0.572, 0.101, 0.654], [0.072, 0.654, 0.101], [0.428, 0.899, 0.346], [0.760, 0.666, 0.556], [0.740, 0.444, 0.334], [0.240, 0.334, 0.444], [0.260, 0.556, 0.666]], "rho_g_cm3": 7.0, "relative_energy_ev_per_fu": 0.34, "sg": "C2/c", "e_form_raw_ev_per_atom": 0.014, "n_ef_per_ev_cell": 11.3}

***

{"formula": "MgBiPS2", "functional": "GGA-PBE", "state": "relaxed", "cell": [[5.177, 0.000, 0.000], [0.000, 5.177, 0.000], [0.000, 0.000, 5.255]], "species": ["Mg", "P", "S", "S", "Bi"], "fractional_positions": [[0.500, 0.500, 0.500], [0.000, 0.000, 0.500], [0.000, 0.500, 0.000], [0.500, 0.000, 0.000], [0.000, 0.000, 0.000]], "rho_g_cm3": 3.9, "relative_energy_ev_per_fu": 1.62, "sg": "P4/mmm", "e_form_raw_ev_per_atom": 0.573, "n_ef_per_ev_cell": 5.3}

***

{"formula": "SrMg2Cr", "functional": "GGA-PBE", "state": "relaxed", "cell": [[-4.356, -1.307, 1.255], [1.765, -2.317, 3.711], [-0.436, 4.127, 2.784]], "species": ["Cr", "Mg", "Mg", "Sr"], "fractional_positions": [[0.000, 0.500, 0.500], [0.000, 0.000, 0.000], [0.500, 0.500, 0.000], [0.500, 0.000, 0.500]], "rho_g_cm3": 2.8, "sg": "P4/mmm", "formation_enthalpy_0k_ev_per_atom": 0.420, "n_ef_per_ev_cell": 3.2}

***

{"formula": "HgRu2Se2", "functional": "GGA-PBE", "state": "relaxed", "cell": [[4.076, 0.000, 0.000], [0.000, 4.076, 0.000], [2.038, 2.038, 5.650]], "species": ["Ru", "Ru", "Hg", "Se", "Se"], "fractional_positions": [[0.383, 0.383, 0.235], [0.617, 0.617, 0.765], [0.000, 0.000, 0.000], [0.750, 0.250, 0.500], [0.250, 0.750, 0.500]], "rho_g_cm3": 9.9, "sg": "I4/mmm", "e_form_raw_ev_per_atom": 0.353, "n_ef_per_ev_cell": 5.5}

***

{"formula": "PmSmTiIn", "functional": "GGA-PBE", "state": "relaxed", "cell": [[-0.258, 4.723, 2.515], [-3.860, 3.496, -1.255], [-3.963, 0.974, 3.470]], "species": ["In", "Ti", "Sm", "Pm"], "fractional_positions": [[0.500, 0.500, 0.500], [0.000, 0.000, 0.000], [0.750, 0.750, 0.750], [0.250, 0.250, 0.250]], "rho_g_cm3": 7.0, "sg": "F-43m", "formation_enthalpy_0k_ev_per_atom": -0.067, "n_ef_per_ev_cell": 5.1}

***

{"formula": "NbCoP2Br", "functional": "GGA-PBE", "state": "relaxed", "cell": [[-4.611, -1.231, 0.578], [1.105, -4.548, -0.874], [0.778, -0.712, 4.691]], "species": ["P", "P", "Nb", "Co", "Br"], "fractional_positions": [[0.000, 0.000, 0.500], [0.500, 0.000, 0.000], [0.000, 0.500, 0.000], [0.500, 0.500, 0.500], [0.000, 0.000, 0.000]], "rho_g_cm3": 4.4, "relative_energy_ev_per_fu": 6.20, "sg": "P4/mmm", "e_form_raw_ev_per_atom": 1.920, "n_ef_per_ev_cell": 9.5}

***

{"formula": "Sr5SbS8", "functional": "GGA-PBE", "state": "relaxed", "cell": [[-3.596, 2.562, 6.357], [-0.145, -7.729, -0.386], [7.257, 2.654, 0.450]], "species": ["Sr", "Sr", "Sr", "Sr", "Sr", "Sb", "S", "S", "S", "S", "S", "S", "S", "S"], "fractional_positions": [[0.011, 0.394, 0.146], [0.854, 0.865, 0.248], [0.752, 0.606, 0.617], [0.500, 0.000, 0.500], [0.383, 0.135, 0.989], [0.250, 0.500, 0.750], [0.146, 0.730, 0.989], [0.011, 0.157, 0.741], [0.755, 0.229, 0.347], [0.653, 0.408, 0.883], [0.474, 0.592, 0.245], [0.584, 0.843, 0.854], [0.259, 0.270, 0.416], [0.117, 0.771, 0.526]], "rho_g_cm3": 3.8, "sg": "I-4", "e_form_raw_ev_per_atom": -1.320, "n_ef_per_ev_cell": 11.5}